[1]
Compound: Pr3Sm5Se8
Source: Alexandria
Functional: GGA-PBE
Structure: relaxed

For the energy, the calculation gives -5.935 eV per atom. The total magnetic moment is 0.00 μB per formula unit.

The space group is R-3m (No. 166, hexagonal axes) and the conventional cell measures 8.4133, 8.4133 and 20.6557 Å, with angles of 90.00, 90.00 and 120.00 degrees. The inequivalent atoms are Pr at (0.0000, 0.5000, 0.0000), Sm at (0.0000, 0.0000, 0.0000), Sm at (0.0000, 0.0000, 0.5000), Sm at (0.0000, 0.5000, 0.5000), Se at (0.0000, 0.0000, 0.2471) and Se at (0.0038, 0.5019, 0.7519).

[2]
Compound: PrTmTlAg
Source: Alexandria
Functional: GGA-PBE
Structure: relaxed

For the excess energy over the best structure of this formula in the dataset, the calculation gives 0.022 eV per atom. The total magnetic moment is 0.16 μB per formula unit. The calculation puts the formation energy at -30 kJ/mol of atoms.

The space group is F-43m (No. 216) and the conventional cell measures 7.556, 7.556 and 7.556 Å, with angles of 90.00, 90.00 and 90.00 degrees. The inequivalent atoms are Pr at (0.000, 0.000, 0.000), Tm at (0.000, 0.000, 0.500), Tl at (0.250, 0.250, 0.750) and Ag at (0.250, 0.250, 0.250).

[3]
Compound: HfS2I
Source: Alexandria
Functional: GGA-PBE
Structure: relaxed

For the excess energy over the best structure of this formula in the dataset, the calculation gives 1.491 eV per atom. The total magnetic moment is 0.00 μB per formula unit.

The space group is R-3m (No. 166, hexagonal axes) and the conventional cell measures 3.5536, 3.5536 and 27.7850 Å, with angles of 90.00, 90.00 and 120.00 degrees. The inequivalent atoms are Hf at (0.0000, 0.0000, 0.0000), S at (0.0000, 0.0000, 0.0848) and I at (0.0000, 0.0000, 0.5000).

[4]
Compound: TaMo2As
Source: Alexandria
Functional: GGA-PBE
Structure: relaxed

The total magnetic moment is 0.00 μB per formula unit. The calculation puts the formation energy at 14 kJ/mol of atoms.

The space group is C2/m (No. 12) and the conventional cell measures 5.251, 9.079 and 2.890 Å, with angles of 90.00, 106.75 and 90.00 degrees. The inequivalent atoms are Ta at (0.000, 0.000, 0.000), Mo at (0.250, 0.250, 0.500) and As at (0.000, 0.500, 0.000).